(1)
Ca5YAg6, relaxed, DFT GGA-PBE; crystal system = orthorhombic; energy = -37.322 eV per cell
1.0
4.948 -0.030 1.649
0.040 7.421 0.013
-0.004 -0.015 8.261
Ag Ca Y
6 5 1
Direct
0.839 0.246 0.323
0.839 0.754 0.323
0.161 0.754 0.677
0.500 0.766 0.000
0.500 0.234 0.000
0.161 0.246 0.677
0.334 0.500 0.332
0.666 0.500 0.668
0.000 0.500 0.000
0.332 0.000 0.336
0.668 0.000 0.664
0.000 0.000 0.000

(2)
Pm2ErGe, relaxed, DFT GGA-PBE; crystal system = tetragonal; energy = -19.961 eV per cell
1.0
-1.849 -3.347 -1.473
1.963 0.484 -3.564
4.965 -3.724 2.229
Er Ge Pm
1 1 2
Direct
0.500 0.500 0.500
0.500 0.500 0.000
0.000 0.000 0.223
0.000 0.000 0.777

(3)
Tm6AlCu, relaxed, DFT GGA-PBE; crystal system = monoclinic; energy = -35.722 eV per cell
1.0
-0.234 -4.546 1.876
4.477 0.581 1.965
-1.428 1.163 9.080
Tm Cu Al
6 1 1
Direct
0.396 0.896 0.208
0.104 0.604 0.792
0.748 0.748 0.505
0.896 0.396 0.208
0.252 0.252 0.495
0.604 0.104 0.792
0.000 0.000 0.000
0.500 0.500 0.000

(4)
CdNiRu4, relaxed, DFT GGA-PBE; crystal system = cubic; energy = -39.952 eV per cell
1.0
1.045 -1.202 4.870
-3.633 0.445 3.585
-2.055 -4.197 2.100
Ni Ru Cd
1 4 1
Direct
0.000 0.000 0.000
0.876 0.375 0.375
0.375 0.876 0.375
0.375 0.375 0.375
0.375 0.375 0.876
0.750 0.750 0.750

(5)
Ac3InHg4, relaxed, DFT GGA-PBE; crystal system = trigonal; energy = -19.829 eV per cell
1.0
-1.139 -5.124 1.692
2.612 -4.297 -2.266
7.327 -2.474 6.427
Ac Hg In
3 4 1
Direct
0.261 0.261 0.217
0.739 0.739 0.783
0.500 0.500 0.500
0.127 0.127 0.619
0.873 0.873 0.381
0.622 0.622 0.134
0.378 0.378 0.866
0.000 0.000 0.000

(6)
ThZrCo2H6, relaxed, DFT GGA-PBE; crystal system = trigonal; energy = -54.490 eV per cell
1.0
4.473 0.000 0.000
2.236 3.874 0.000
2.236 1.291 5.389
H Co Th Zr
6 2 1 1
Direct
0.442 0.928 0.189
0.558 0.072 0.811
0.441 0.442 0.189
0.072 0.559 0.811
0.928 0.441 0.189
0.559 0.558 0.811
0.212 0.212 0.364
0.788 0.788 0.636
0.000 0.000 0.000
0.500 0.500 0.500